Here is crystalline Cs2CoSnF6 at its relaxed geometry from Alexandria. Energies are from GGA+U.

Values from the calculation:
**Space group**: I4/mmm
**Uncorrected energy**: -4.632 eV/atom
**DOS(E_F)**: 0.000 states/eV per atom
**V**: 18.5 Å³/atom

The structure in POSCAR format:
```
Cs2CoSnF6
1.0
-0.514 2.892 -5.641
3.302 -4.709 -2.715
-2.503 -3.176 -4.985
F Co Cs Sn
6 1 2 1
Cartesian
2.032 -1.324 -6.091
2.267 -2.648 -3.508
0.756 -0.492 -2.265
0.751 -3.002 -8.778
0.520 0.832 -4.848
-0.467 -1.991 -4.563
1.394 -0.908 -4.178
-0.812 -0.596 -7.402
1.096 -4.396 -5.939
0.000 0.000 0.000
```